Entry from Alexandria: crystalline Tc2MoHPt at its relaxed geometry (PBE).

Geometry as POSCAR:
```
Tc2MoHPt
1.0
3.985 0.000 0.000
0.000 3.985 0.000
0.000 0.000 3.909
Mo Pt Tc H
1 1 2 1
direct
0.500 0.500 0.500 Mo
0.000 0.000 0.500 Pt
0.000 0.500 0.000 Tc
0.500 0.000 0.000 Tc
0.000 0.000 0.000 H
```

Energy above the lowest structure with this stoichiometry ... 0.046 eV/atom
DOS(E_F) ... 0.660 states/eV/atom